[1]
{
  "formula": "TaInF2",
  "functional": "GGA-PBE",
  "state": "relaxed",
  "space_group": "R-3m",
  "e_form_raw_mev_per_atom": -1522.0,
  "n_ef_per_ev_cell": 1.41,
  "polymorph_energy_mev_per_atom": 0,
  "rho_g_cm3": 7.0,
  "lattice_angstrom": [[2.2466, 1.3053, 9.0633], [4.7362, -0.3657, 8.1442], [4.6849, 2.7397, 7.7097]],
  "species": ["In", "F", "F", "Ta"],
  "fractional_positions": [[0.5000, 0.5000, 0.5000], [0.0688, 0.0688, 0.0688], [0.9312, 0.9312, 0.9312], [0.0000, 0.0000, 0.0000]]
}

=====

[2]
{
  "formula": "TaInF5",
  "functional": "GGA-PBE",
  "state": "relaxed",
  "space_group": "Cc",
  "e_form_raw_mev_per_atom": -2637.9,
  "n_ef_per_ev_cell": 3.10,
  "rho_g_cm3": 4.5,
  "lattice_angstrom": [[6.7951, 1.0363, 2.2032], [0.7778, 6.8295, 2.2032], [2.3659, 2.4574, 7.6753]],
  "species": ["In", "In", "F", "F", "F", "F", "F", "F", "F", "F", "F", "F", "Ta", "Ta"],
  "fractional_positions": [[0.6892, 0.6887, 0.8097], [0.1887, 0.1892, 0.3097], [0.2753, 0.7483, 0.4882], [0.0088, 0.0084, 0.2266], [0.2580, 0.2624, 0.7402], [0.2483, 0.7753, 0.9882], [0.5125, 0.5126, 0.2526], [0.7624, 0.7580, 0.2402], [0.7439, 0.2708, 0.4929], [0.0126, 0.0126, 0.7525], [0.5084, 0.5088, 0.7266], [0.7708, 0.2439, 0.9930], [0.5105, 0.5104, 0.4898], [0.0104, 0.0105, 0.9898]]
}

=====

[3]
{
  "formula": "TaInF2",
  "functional": "GGA-PBE",
  "state": "relaxed",
  "space_group": "Fm-3m",
  "e_form_raw_mev_per_atom": -396.5,
  "n_ef_per_ev_cell": 2.92,
  "polymorph_energy_mev_per_atom": 1126,
  "rho_g_cm3": 9.2,
  "lattice_angstrom": [[-0.0208, -3.1994, -3.0219], [1.9792, -3.8387, 0.8459], [-2.4120, -3.6236, 0.6484]],
  "species": ["Ta", "F", "F", "In"],
  "fractional_positions": [[0.5000, 0.5000, 0.5000], [0.2500, 0.2500, 0.2500], [0.7500, 0.7500, 0.7500], [0.0000, 0.0000, 0.0000]]
}